# LiCaP2 | Alexandria via LeMat-Bulk | PBE-GGA | optimized geometry
# **VASP energy**: -4.33 eV/atom
# **Polymorph energy (0 for the lowest one)**: 72 meV per atom
# **ΔH_f (0 K)**: -2.59 eV/f.u.
# **D(E_F)**: 0.883 states/eV/f.u.
# **M_tot**: 0.00 μB per cell
data_LiCaP2
_chemical_formula_sum 'Li1 Ca1 P2'
_cell_length_a 3.5220
_cell_length_b 3.6215
_cell_length_c 5.6790
_cell_angle_alpha 90.00
_cell_angle_beta 90.00
_cell_angle_gamma 90.00
_space_group_name_H-M_alt 'P m m m'
_space_group_IT_number 47
_space_group_name_Hall '-P 2 2'
loop_
_atom_site_label
_atom_site_type_symbol
_atom_site_fract_x
_atom_site_fract_y
_atom_site_fract_z
Li1 Li 0.0000 0.0000 0.0000
Ca1 Ca 0.0000 0.0000 0.5000
P1 P 0.5000 0.5000 0.1905